1.
Here is an optimized crystal structure of AuBrF2 from Alexandria. Energies are from GGA-PBE.

Cell: 8.273 8.273 6.406 Å, 49.78 49.78 90.00°
Element x y z (fractional)
Br 0.250 0.750 0.500
Br 0.500 0.500 0.000
Au 0.000 0.000 0.000
Au 0.750 0.250 0.500
F 0.375 0.157 0.750
F 0.875 0.093 0.750
F 0.843 0.125 0.250
F 0.907 0.625 0.250

## Properties
Density   5.855 g/cm³
Crystal system   tetragonal
DOS at the Fermi energy   1.051 states/eV/atom
Formation energy without anion corrections   -0.394 eV/atom
E_tot   -2.567 eV/atom



2.
Here is an optimized crystal structure of Cs3ScTe3 from Alexandria. Energies are from GGA-PBE.

Cell: 9.457 9.943 15.324 Å, 90.00 90.00 102.52°
Element x y z (fractional)
Cs 0.212 0.063 0.317
Cs 0.729 0.391 0.901
Cs 0.271 0.609 0.099
Cs 0.643 0.024 0.121
Cs 0.857 0.476 0.621
Cs 0.357 0.976 0.879
Cs 0.788 0.937 0.683
Cs 0.771 0.109 0.401
Cs 0.229 0.891 0.599
Cs 0.712 0.563 0.183
Cs 0.288 0.437 0.817
Cs 0.143 0.524 0.379
Te 0.107 0.233 0.550
Te 0.032 0.872 0.105
Te 0.468 0.628 0.605
Te 0.607 0.733 0.950
Te 0.532 0.372 0.395
Te 0.528 0.198 0.683
Te 0.028 0.698 0.817
Te 0.472 0.802 0.317
Te 0.393 0.267 0.050
Te 0.968 0.128 0.895
Te 0.893 0.767 0.450
Te 0.972 0.302 0.183
Sc 0.599 0.658 0.438
Sc 0.401 0.342 0.562
Sc 0.901 0.842 0.938
Sc 0.099 0.158 0.062

## Properties
Density   3.902 g/cm³
Crystal system   monoclinic
DOS at the Fermi energy   0.000 states/eV/atom
Formation energy without anion corrections   -1.188 eV/atom
E_tot   -3.805 eV/atom